## i
Below is an optimized crystal structure of BePbCl2, with properties calculated at the PBE-GGA level.

```
BePbCl2
1.0
-3.629 -0.079 -1.108
2.376 -2.960 0.026
-2.449 -1.895 8.157
Pb Be Cl
1 1 2
Direct
0.000 0.000 0.528
0.500 0.500 0.779
0.000 0.000 0.912
0.500 0.500 0.281
```

## ii
Below is an optimized crystal structure of BePbCl2, with properties calculated at the PBE-GGA level.

```
BePbCl2
1.0
-0.766 -2.928 1.390
0.580 -1.529 -2.902
7.773 -1.036 2.101
Pb Be Cl
1 1 2
Direct
0.000 0.000 0.515
0.500 0.500 0.794
0.000 0.000 0.910
0.500 0.500 0.280
```

## iii
Below is an optimized crystal structure of BePbCl2, with properties calculated at the PBE-GGA level.

```
BePbCl2
1.0
6.822 0.102 -0.045
6.049 3.155 -0.045
1.157 0.293 5.511
Pb Be Cl
1 1 2
Direct
0.375 0.375 0.568
0.714 0.714 0.907
0.109 0.109 0.909
0.302 0.302 0.116
```

Ordering by calculated energy gives the sequence iii, i, ii, with the first entry being the most stable.

## i
Below is an optimized crystal structure of BePbCl2, with properties calculated at the PBE-GGA level.

```
BePbCl2
1.0
5.015 -0.003 -0.005
-1.860 4.655 0.009
1.295 2.512 4.138
Pb Be Cl
1 1 2
Direct
0.000 0.500 0.500
0.500 0.500 0.000
0.000 0.000 0.000
0.500 0.000 0.500
```

## ii
Below is an optimized crystal structure of BePbCl2, with properties calculated at the PBE-GGA level.

```
BePbCl2
1.0
-3.372 1.138 -0.663
1.229 -2.153 2.638
1.904 9.759 7.077
Pb Be Cl
1 1 2
Direct
0.500 0.500 0.250
0.500 0.500 0.750
0.000 0.000 0.869
0.000 0.000 0.631
```

Ordering by calculated energy gives the sequence ii, i, with the first entry being the most stable.